# SrLuSn2

A relaxed SrLuSn2 crystal (PBE, the Open Quantum Materials Database).

a b c (Å): 5.5367 5.5367 5.5367
angles (deg): 60.00 60.00 60.00
Sites, in units of the cell vectors:
1 Lu 0.2500 0.2500 0.2500
2 Sn 0.0000 0.0000 0.0000
3 Sn 0.7500 0.7500 0.7500
4 Sr 0.5000 0.5000 0.5000

Results
- uncorrected energy (eV per atom) = -3.6010



# LuTaSn2

A relaxed LuTaSn2 crystal (PBE, the Open Quantum Materials Database).

a b c (Å): 5.0732 5.0732 5.0732
angles (deg): 60.00 60.00 60.00
Sites, in units of the cell vectors:
1 Lu 0.2500 0.2500 0.2500
2 Sn 0.0000 0.0000 0.0000
3 Sn 0.7500 0.7500 0.7500
4 Ta 0.5000 0.5000 0.5000

Results
- uncorrected energy (eV per atom) = -5.7359



# LuTaSn

A relaxed LuTaSn crystal (PBE, the Open Quantum Materials Database).

a b c (Å): 4.7587 4.7587 4.7587
angles (deg): 60.00 60.00 60.00
Sites, in units of the cell vectors:
1 Lu 0.2500 0.2500 0.2500
2 Sn 0.0000 0.0000 0.0000
3 Ta 0.7500 0.7500 0.7500

Results
- uncorrected energy (eV per atom) = -6.4168



# LuTa2Sn

A relaxed LuTa2Sn crystal (PBE, the Open Quantum Materials Database).

a b c (Å): 4.8779 4.8779 4.8779
angles (deg): 60.00 60.00 60.00
Sites, in units of the cell vectors:
1 Lu 0.2500 0.2500 0.2500
2 Sn 0.5000 0.5000 0.5000
3 Ta 0.0000 0.0000 0.0000
4 Ta 0.7500 0.7500 0.7500

Results
- uncorrected energy (eV per atom) = -7.9718



# TbLu2Sn7

A relaxed TbLu2Sn7 crystal (PBE, the Open Quantum Materials Database).

a b c (Å): 12.8628 12.8628 4.5117
angles (deg): 90.00 90.00 159.93
Sites, in units of the cell vectors:
1 Lu 0.6889 0.3111 0.0000
2 Lu 0.3111 0.6889 0.0000
3 Sn 0.9020 0.0980 0.0000
4 Sn 0.0980 0.9020 0.0000
5 Sn 0.0000 0.0000 0.5000
6 Sn 0.7912 0.2088 0.5000
7 Sn 0.5988 0.4012 0.5000
8 Sn 0.4012 0.5988 0.5000
9 Sn 0.2088 0.7912 0.5000
10 Tb 0.5000 0.5000 0.0000

Results
- uncorrected energy (eV per atom) = -4.6313



# TbLuSn

A relaxed TbLuSn crystal (PBE, the Open Quantum Materials Database).

a b c (Å): 5.0841 5.0841 5.0841
angles (deg): 60.00 60.00 60.00
Sites, in units of the cell vectors:
1 Lu 0.2500 0.2500 0.2500
2 Sn 0.0000 0.0000 0.0000
3 Tb 0.7500 0.7500 0.7500

Results
- uncorrected energy (eV per atom) = -4.7365



# LuTcSn2

A relaxed LuTcSn2 crystal (PBE, the Open Quantum Materials Database).

a b c (Å): 4.4315 4.4315 4.4315
angles (deg): 60.00 60.00 60.00
Sites, in units of the cell vectors:
1 Lu 0.7500 0.7500 0.7500
2 Sn 0.2500 0.2500 0.2500
3 Sn 0.5000 0.5000 0.5000
4 Tc 0.0000 0.0000 0.0000

Results
- uncorrected energy (eV per atom) = -4.7004



# LuTc2Sn

A relaxed LuTc2Sn crystal (PBE, the Open Quantum Materials Database).

a b c (Å): 4.6982 4.6982 4.6982
angles (deg): 60.00 60.00 60.00
Sites, in units of the cell vectors:
1 Lu 0.2500 0.2500 0.2500
2 Sn 0.5000 0.5000 0.5000
3 Tc 0.0000 0.0000 0.0000
4 Tc 0.7500 0.7500 0.7500

Results
- uncorrected energy (eV per atom) = -7.1725



> uncorrected energy of number 1 (SrLuSn2)?

-3.6010 eV per atom